[1]
ErFe2: optimized geometry, PBE-GGA.

Lattice parameters (Å, degrees): 5.1313 5.1313 8.2789 90.00 90.00 120.00
Sites, in units of the cell vectors:
Er 0.3333 0.6667 0.0622
Er 0.3333 0.6667 0.4378
Er 0.6667 0.3333 0.5622
Er 0.6667 0.3333 0.9378
Fe 0.0000 0.0000 0.0000
Fe 0.0000 0.0000 0.5000
Fe 0.1661 0.3322 0.7500
Fe 0.1661 0.8339 0.7500
Fe 0.3322 0.1661 0.2500
Fe 0.6678 0.8339 0.7500
Fe 0.8339 0.1661 0.2500
Fe 0.8339 0.6678 0.2500

space-group type: P6_3/mmc, No. 194
magnetization: 3.38 μB/f.u.
volume: 189 Å³ per cell
total DFT energy (no corrections): -7.27 eV/atom


[2]
ErFe2: optimized geometry, PBE-GGA.

Lattice parameters (Å, degrees): 5.4149 5.4149 5.4149 145.46 145.46 49.66
Sites, in units of the cell vectors:
Er 0.0000 0.0000 0.0000
Fe 0.3019 0.3019 0.0000
Fe 0.6981 0.6981 0.0000

space-group type: I4/mmm, No. 139
magnetization: 4.86 μB/f.u.
volume: 51 Å³ per cell
total DFT energy (no corrections): -7.05 eV/atom


[3]
Er2Fe17: optimized geometry, PBE-GGA.

Lattice parameters (Å, degrees): 8.4245 8.4245 8.2312 90.00 90.00 120.00
Sites, in units of the cell vectors:
Er 0.0000 0.0000 0.2500
Er 0.0000 0.0000 0.7500
Er 0.3333 0.6667 0.2500
Er 0.6667 0.3333 0.7500
Fe 0.0000 0.5000 0.0000
Fe 0.0000 0.5000 0.5000
Fe 0.0374 0.3665 0.7500
Fe 0.0374 0.6709 0.7500
Fe 0.1657 0.3313 0.0151
Fe 0.1657 0.3313 0.4849
Fe 0.1657 0.8343 0.0151
Fe 0.1657 0.8343 0.4849
Fe 0.3291 0.3665 0.7500
Fe 0.3291 0.9626 0.7500
Fe 0.3313 0.1657 0.5151
Fe 0.3313 0.1657 0.9849
Fe 0.3333 0.6667 0.6066
Fe 0.3333 0.6667 0.8934
Fe 0.3665 0.0374 0.2500
Fe 0.3665 0.3291 0.2500
Fe 0.5000 0.0000 0.0000
Fe 0.5000 0.0000 0.5000
Fe 0.5000 0.5000 0.0000
Fe 0.5000 0.5000 0.5000
Fe 0.6335 0.6709 0.7500
Fe 0.6335 0.9626 0.7500
Fe 0.6667 0.3333 0.1066
Fe 0.6667 0.3333 0.3934
Fe 0.6687 0.8343 0.0151
Fe 0.6687 0.8343 0.4849
Fe 0.6709 0.0374 0.2500
Fe 0.6709 0.6335 0.2500
Fe 0.8343 0.1657 0.5151
Fe 0.8343 0.1657 0.9849
Fe 0.8343 0.6687 0.5151
Fe 0.8343 0.6687 0.9849
Fe 0.9626 0.3291 0.2500
Fe 0.9626 0.6335 0.2500

space-group type: P6_3/mmc, No. 194
magnetization: 38.33 μB/f.u.
volume: 506 Å³ per cell
total DFT energy (no corrections): -8.07 eV/atom


[4]
Er3Fe: optimized geometry, PBE-GGA.

Lattice parameters (Å, degrees): 3.3101 3.5751 8.8620 90.00 90.00 90.00
Sites, in units of the cell vectors:
Er 0.0000 0.0000 0.0000
Er 0.0000 0.5000 0.3425
Er 0.5000 0.5000 0.7129
Fe 0.5000 0.0000 0.4917

space-group type: Pmm2, No. 25
magnetization: 1.07 μB/f.u.
volume: 105 Å³ per cell
total DFT energy (no corrections): -5.24 eV/atom